Entry 1:
This record from Alexandria via LeMat-Bulk describes crystalline MgTiCu2Se4 at its relaxed geometry. The functional is PBE.

## Properties
Formation energy (no corrections) ... -560 kJ/mol of formula units
Symmetry ... I-42m
Final energy ... -4.6780 eV per atom

```
MgTiCu2Se4
1.0
5.779 0.000 0.000
0.000 5.779 0.000
0.000 0.000 11.201
Mg Ti Cu Se
2 2 4 8
direct
0.000 0.000 0.000
0.500 0.500 0.500
0.000 0.000 0.500
0.500 0.500 0.000
0.000 0.500 0.250
0.000 0.500 0.750
0.500 0.000 0.250
0.500 0.000 0.750
0.237 0.237 0.369
0.237 0.763 0.631
0.263 0.263 0.869
0.263 0.737 0.131
0.737 0.263 0.131
0.737 0.737 0.869
0.763 0.237 0.631
0.763 0.763 0.369
```

---

Entry 2:
This record from Alexandria via LeMat-Bulk describes crystalline PmMg4 at its relaxed geometry. The functional is PBE.

## Properties
Density of states at the Fermi level ... 1.324 states/eV/atom
Symmetry ... Pm-3m
Final energy ... -1.1860 eV per atom
Energy above the lowest structure with this stoichiometry ... 1096 meV/atom

```
PmMg4
1.0
5.945 0.000 0.000
0.000 5.945 0.000
0.000 0.000 5.945
Pm Mg
1 4
direct
0.000 0.000 0.000
0.000 0.000 0.500
0.000 0.500 0.000
0.500 0.000 0.000
0.500 0.500 0.500
```

---

Entry 3:
This record from Alexandria via LeMat-Bulk describes crystalline V3AgSn at its relaxed geometry. The functional is PBE.

## Properties
Density of states at the Fermi level ... 2.732 states/eV/atom
Symmetry ... Pm-3m
Final energy ... -5.4006 eV per atom
Energy above the lowest structure with this stoichiometry ... 0 meV/atom

```
V3AgSn
1.0
4.871 0.000 0.000
0.000 4.871 0.000
0.000 0.000 4.871
V Ag Sn
3 1 1
direct
0.000 0.000 0.500
0.000 0.500 0.000
0.500 0.000 0.000
0.000 0.000 0.000
0.500 0.500 0.500
```

---

Entry 4:
This record from Alexandria via LeMat-Bulk describes crystalline La2PdRhCl at its relaxed geometry. The functional is PBE.

## Properties
Density of states at the Fermi level ... 0.864 states/eV/atom
Formation energy (no corrections) ... -146 kJ/mol of formula units
Symmetry ... P4/mmm
Final energy ... -5.1519 eV per atom

```
La2PdRhCl
1.0
5.612 0.000 0.000
0.000 5.612 0.000
0.000 0.000 4.826
La Pd Rh Cl
2 1 1 1
direct
0.000 0.500 0.000
0.500 0.000 0.000
0.000 0.000 0.000
0.000 0.000 0.500
0.500 0.500 0.500
```

---

> Number 2 is which compound?

PmMg4

---

> The lowest final energy belongs to which entry?

V3AgSn